Entry 1:
A plane-wave DFT calculation with SCAN was carried out for a PBEsol-optimized structure of MgPbBr.

Unit cell a=3.3775 b=3.3775 c=7.5623 alpha=102.90 beta=102.90 gamma=90.00
Element x y z (fractional)
Pb 0.3083 0.3083 0.6167
Mg 0.6493 0.6493 0.2987
Br 0.0423 0.0423 0.0846

Values from the calculation:
**Crystal system**: tetragonal
**Space-group type**: No. 107
**Total magnetic moment**: 0.0 μB/f.u.
**Mass density**: 6.318 g/cm³
**N(E_F)**: 0.579 states/eV per atom


Entry 2:
A plane-wave DFT calculation with SCAN was carried out for a PBEsol-optimized structure of MgTa2PbBr.

Unit cell a=5.2938 b=5.3162 c=5.3162 alpha=90.00 beta=90.00 gamma=90.00
Element x y z (fractional)
Pb 0.0000 0.0000 0.0000
Ta 0.0000 0.0000 0.5000
Ta 0.0000 0.5000 0.0000
Br 0.5000 0.5000 0.5000
Mg 0.5000 0.0000 0.0000

Values from the calculation:
**Crystal system**: tetragonal
**Space-group type**: No. 123
**Total magnetic moment**: 6.1 μB/f.u.
**Mass density**: 7.473 g/cm³
**N(E_F)**: 0.796 states/eV per atom


Entry 3:
A plane-wave DFT calculation with SCAN was carried out for a PBEsol-optimized structure of MgPdBr2.

Unit cell a=5.1653 b=5.1653 c=8.1293 alpha=108.52 beta=108.52 gamma=90.00
Element x y z (fractional)
Br 0.1250 0.1252 0.7500
Br 0.8748 0.3750 0.2500
Br 0.6250 0.6248 0.7500
Br 0.3752 0.8750 0.2500
Pd 0.0000 0.0000 0.0000
Pd 0.2500 0.7500 0.5000
Mg 0.7500 0.2500 0.5000
Mg 0.5000 0.5000 0.0000

Values from the calculation:
**Crystal system**: tetragonal
**Space-group type**: No. 122
**Total magnetic moment**: 0.0 μB/f.u.
**Mass density**: 4.980 g/cm³
**N(E_F)**: 0.167 states/eV per atom


Entry 4:
A plane-wave DFT calculation with SCAN was carried out for a PBEsol-optimized structure of Mg2PdBr.

Unit cell a=6.1228 b=6.1228 c=6.1228 alpha=109.02 beta=109.70 gamma=109.70
Element x y z (fractional)
Br 0.0000 0.5000 0.5000
Br 0.5000 0.2500 0.7500
Pd 0.5000 0.7500 0.2500
Pd 0.0000 0.0000 0.0000
Mg 0.9852 0.1102 0.6250
Mg 0.4852 0.3750 0.3602
Mg 0.5148 0.8750 0.8898
Mg 0.0148 0.6398 0.1250

Values from the calculation:
**Crystal system**: tetragonal
**Space-group type**: No. 122
**Total magnetic moment**: 0.0 μB/f.u.
**Mass density**: 4.416 g/cm³
**N(E_F)**: 0.311 states/eV per atom


Entry 5:
A plane-wave DFT calculation with SCAN was carried out for a PBEsol-optimized structure of MgScPdBr2.

Unit cell a=4.8785 b=4.8785 c=5.1322 alpha=90.00 beta=90.00 gamma=90.00
Element x y z (fractional)
Br 0.0000 0.5000 0.0000
Br 0.5000 0.0000 0.0000
Sc 0.5000 0.5000 0.5000
Pd 0.0000 0.0000 0.5000
Mg 0.0000 0.0000 0.0000

Values from the calculation:
**Crystal system**: tetragonal
**Space-group type**: No. 123
**Total magnetic moment**: 1.0 μB/f.u.
**Mass density**: 4.561 g/cm³
**N(E_F)**: 0.440 states/eV per atom


Entry 6:
A plane-wave DFT calculation with SCAN was carried out for a PBEsol-optimized structure of MgZrPtBr2.

Unit cell a=4.7393 b=4.7393 c=5.1623 alpha=90.00 beta=90.00 gamma=90.00
Element x y z (fractional)
Mg 0.0000 0.0000 0.0000
Br 0.5000 0.0000 0.0000
Br 0.0000 0.5000 0.0000
Pt 0.0000 0.0000 0.5000
Zr 0.5000 0.5000 0.5000

Values from the calculation:
**Crystal system**: tetragonal
**Space-group type**: No. 123
**Total magnetic moment**: 1.7 μB/f.u.
**Mass density**: 6.737 g/cm³
**N(E_F)**: 0.342 states/eV per atom


Formation energy from raw total energies (eV per atom)
-0.543 1.787 -0.586 -0.423 -0.270 -0.042